Material: TlReBr4
Method: DFT, PBE
State: optimized geometry

N(E_F)	3.40	states/eV/cell
formation energy without anion corrections	1086.2	meV per atom
total DFT energy (no corrections)	-2.50	eV per atom
space-group type	F-43m, No. 216

Cell and atoms, written as POSCAR:
```
TlReBr4
1.0
0.000 4.597 4.597
4.597 0.000 4.597
4.597 4.597 0.000
Tl Re Br
1 1 4
Cartesian
0.000 0.000 0.000
2.299 2.299 2.299
5.743 3.452 3.452
3.452 5.743 3.452
3.452 3.452 5.743
5.743 5.743 5.743
```

=====

Material: HfScCl2
Method: DFT, PBE
State: optimized geometry

N(E_F)	20.95	states/eV/cell
formation energy without anion corrections	-270.5	meV per atom
total DFT energy (no corrections)	-5.27	eV per atom
space-group type	I-42d, No. 122

Cell and atoms, written as POSCAR:
```
HfScCl2
1.0
5.994 0.000 0.000
0.000 5.994 0.000
0.000 0.000 10.653
Hf Sc Cl
4 4 8
Cartesian
0.000 0.000 0.000
0.000 2.997 2.663
2.997 0.000 7.989
2.997 2.997 5.326
0.000 0.000 5.326
0.000 2.997 7.989
2.997 0.000 2.663
2.997 2.997 0.000
1.448 1.498 6.658
1.498 4.445 9.321
1.498 4.545 3.995
1.549 1.498 1.332
4.445 4.495 1.332
4.495 1.448 3.995
4.495 1.549 9.321
4.545 4.495 6.658
```

=====

Material: Rb3In5Sb2
Method: DFT, PBE
State: optimized geometry

N(E_F)	4.85	states/eV/cell
formation energy without anion corrections	-214.2	meV per atom
total DFT energy (no corrections)	-2.70	eV per atom
space-group type	Ibam, No. 72

Cell and atoms, written as POSCAR:
```
Rb3In5Sb2
1.0
-6.122 7.987 3.755
6.122 -7.987 3.755
6.122 7.987 -3.755
Rb In Sb
6 10 4
Cartesian
9.121 2.075 0.000
0.000 0.000 1.877
3.000 5.911 0.000
3.122 2.075 3.755
0.000 0.000 5.632
-3.000 5.911 3.755
6.122 -3.819 1.877
4.595 1.967 0.000
6.122 0.000 1.877
4.595 -1.967 3.755
6.122 3.819 1.877
0.000 4.168 1.877
1.526 9.954 0.000
0.000 7.987 1.877
1.526 6.020 3.755
0.000 11.805 1.877
1.695 2.477 0.000
7.816 5.510 0.000
-1.695 2.477 3.755
4.427 5.510 3.755
```